No. 1
## FeCuP2Cl (PBE)

Data for a relaxed structure of FeCuP2Cl.

Cell lengths 4.209, 4.209, 5.078 Å; angles 90.00, 90.00, 90.00 degrees
Site moments in Bohr magnetons follow the coordinates.
Fractional coordinates of all 5 atoms:
Cl (0.000, 0.000, 0.500)  0.00
Cu (0.500, 0.500, 0.500)  -0.01
P (0.500, 0.000, 0.000)  -0.01
P (0.000, 0.500, 0.000)  -0.01
Fe (0.000, 0.000, 0.000)  0.15

Output
Its crystal system is tetragonal. Its total moment is 0.1 μB per formula unit. The value obtained for the formation energy (no corrections) is 513.0 meV/atom. The energy relative to the lowest polymorph listed for this composition is 0.0 meV per atom.



No. 2
## La4PtSe2I (PBE)

Data for a relaxed structure of La4PtSe2I.

Cell lengths 4.246, 7.684, 7.733 Å; angles 71.25, 90.00, 90.00 degrees
Fractional coordinates of all 8 atoms:
La (0.000, 0.740, 0.776)
La (0.500, 0.773, 0.230)
Pt (0.500, 0.500, 0.000)
Se (0.500, 0.000, 0.500)
La (0.500, 0.227, 0.770)
La (0.000, 0.260, 0.224)
I (0.000, 0.500, 0.500)
Se (0.000, 0.000, 0.000)

Output
Its crystal system is monoclinic. Its total moment is 0.0 μB per formula unit. The value obtained for the formation energy (no corrections) is -1524.1 meV/atom.